La3Se2N PBE-GGA optimized geometry; energy relative to the elements, uncorrected = -1.710 eV/atom
1.0
6.6970 -2.9750 0.0000
6.6970 2.9750 0.0000
-2.3294 0.0000 7.5502
La Se N
6 4 2
direct
0.0237 0.9763 0.7500
0.3642 0.3650 0.4324
0.3650 0.3642 0.9324
0.6350 0.6358 0.0676
0.6358 0.6350 0.5676
0.9763 0.0237 0.2500
0.1770 0.1780 0.0887
0.1780 0.1770 0.5887
0.8220 0.8230 0.4113
0.8230 0.8220 0.9113
0.4692 0.5308 0.7500
0.5308 0.4692 0.2500

LaSe2N2 PBE-GGA optimized geometry; energy relative to the elements, uncorrected = 0.415 eV/atom; energy above the most stable polymorph in this dataset = 0 meV per atom
1.0
4.1573 0.0000 0.0000
0.0000 4.1573 0.0000
0.0000 0.0000 4.9814
La Se N
1 2 2
direct
0.0000 0.0000 0.0000
0.5000 0.5000 0.0000
0.5000 0.5000 0.5000
0.0000 0.5000 0.5000
0.5000 0.0000 0.5000

LaSeN PBE-GGA optimized geometry; energy relative to the elements, uncorrected = -1.199 eV/atom; energy above the most stable polymorph in this dataset = 72 meV per atom
1.0
4.6207 0.0000 0.0000
0.0000 5.9848 0.0000
0.0000 0.0000 10.3790
La Se N
4 4 4
direct
0.2500 0.2500 0.1290
0.2500 0.7500 0.3701
0.7500 0.2500 0.6299
0.7500 0.7500 0.8710
0.2500 0.2500 0.4155
0.2500 0.7500 0.0462
0.7500 0.2500 0.9538
0.7500 0.7500 0.5845
0.2500 0.1489 0.7371
0.2500 0.3511 0.7371
0.7500 0.6489 0.2629
0.7500 0.8511 0.2629

La5Se5N2 PBE-GGA optimized geometry; energy relative to the elements, uncorrected = -1.743 eV/atom
1.0
6.9724 -2.0465 0.0000
6.9724 2.0465 0.0000
-2.7346 0.0000 10.7562
La Se N
5 5 2
direct
0.0000 0.0000 0.0000
0.0946 0.0946 0.3605
0.3506 0.3506 0.2075
0.6494 0.6494 0.7925
0.9054 0.9054 0.6395
0.2439 0.2439 0.6283
0.3376 0.3376 0.9186
0.5000 0.5000 0.5000
0.6624 0.6624 0.0814
0.7561 0.7561 0.3717
0.0480 0.0480 0.7980
0.9520 0.9520 0.2020

LaSe2N2 PBE-GGA optimized geometry; energy relative to the elements, uncorrected = 0.869 eV/atom; energy above the most stable polymorph in this dataset = 454 meV per atom
1.0
4.1143 0.0000 0.0000
0.0000 4.1143 0.0000
0.0000 0.0000 6.9061
La Se N
1 2 2
direct
0.0000 0.0000 0.0000
0.0000 0.0000 0.5000
0.5000 0.5000 0.5000
0.0000 0.5000 0.0000
0.5000 0.0000 0.0000

La4Se3N2 PBE-GGA optimized geometry; energy relative to the elements, uncorrected = -1.880 eV/atom
1.0
6.7039 -5.1851 0.0000
6.7039 5.1851 0.0000
-0.0176 0.0000 6.6368
La Se N
8 6 4
direct
0.0556 0.6917 0.9707
0.2577 0.4128 0.4242
0.3083 0.9444 0.5293
0.4128 0.2577 0.9242
0.5872 0.7423 0.0758
0.6917 0.0556 0.4707
0.7423 0.5872 0.5758
0.9444 0.3083 0.0293
0.0145 0.7517 0.4653
0.2483 0.9855 0.0347
0.4026 0.5974 0.7500
0.5974 0.4026 0.2500
0.7517 0.0145 0.9653
0.9855 0.2483 0.5347
0.1688 0.4198 0.0835
0.4198 0.1688 0.5835
0.5802 0.8312 0.4165
0.8312 0.5802 0.9165

La5Se2N2 PBE-GGA optimized geometry; energy relative to the elements, uncorrected = -1.230 eV/atom
1.0
0.0000 4.9237 7.3455
3.0906 0.0000 7.3455
3.0906 4.9237 0.0000
La Se N
5 2 2
direct
0.0000 0.0000 0.0000
0.2154 0.5500 0.4500
0.4500 0.7846 0.2154
0.5500 0.2154 0.7846
0.7846 0.4500 0.5500
0.1938 0.1938 0.8062
0.8062 0.8062 0.1938
0.0000 0.0000 0.5000
0.5000 0.5000 0.0000

LaSe3N PBE-GGA optimized geometry; energy relative to the elements, uncorrected = 0.721 eV/atom; energy above the most stable polymorph in this dataset = 1011 meV per atom
1.0
5.9166 0.0000 0.0000
0.0000 5.9166 0.0000
0.0000 0.0000 5.9166
La Se N
1 3 1
direct
0.0000 0.0000 0.0000
0.0000 0.0000 0.5000
0.0000 0.5000 0.0000
0.5000 0.0000 0.0000
0.5000 0.5000 0.5000

LaSiSe2N PBE-GGA optimized geometry; energy relative to the elements, uncorrected = -0.712 eV/atom; energy above the most stable polymorph in this dataset = 0 meV per atom
1.0
5.1545 0.0000 0.0000
0.0000 5.1545 0.0000
0.0000 0.0000 3.5526
La Si Se N
1 1 2 1
direct
0.0000 0.0000 0.0000
0.5000 0.5000 0.5000
0.0000 0.5000 0.5000
0.5000 0.0000 0.5000
0.5000 0.5000 0.0000

LaSiSe2N PBE-GGA optimized geometry; energy relative to the elements, uncorrected = 0.502 eV/atom; energy above the most stable polymorph in this dataset = 1214 meV per atom
1.0
5.8340 0.0000 0.0000
0.0000 5.8340 0.0000
0.0000 0.0000 4.2347
La Si Se N
1 1 2 1
direct
0.0000 0.0000 0.0000
0.5000 0.5000 0.5000
0.0000 0.5000 0.0000
0.5000 0.0000 0.0000
0.0000 0.0000 0.5000

LaSmSeN PBE-GGA optimized geometry; energy relative to the elements, uncorrected = -1.652 eV/atom
1.0
1.9193 1.1081 6.8284
-1.9193 1.1081 6.8284
0.0000 -2.2162 6.8284
La Sm Se N
1 1 1 1
direct
0.0000 0.0000 0.0000
0.5318 0.5318 0.5318
0.7691 0.7691 0.7691
0.2621 0.2621 0.2621

SrLaSeN2 PBE-GGA optimized geometry; energy relative to the elements, uncorrected = 1.184 eV/atom; energy above the most stable polymorph in this dataset = 1442 meV per atom
1.0
4.6398 0.0000 0.0000
0.0000 4.6398 0.0000
0.0000 0.0000 5.2440
Sr La Se N
1 1 1 2
direct
0.0000 0.0000 0.0000
0.5000 0.5000 0.0000
0.5000 0.5000 0.5000
0.0000 0.5000 0.5000
0.5000 0.0000 0.5000

SrLaSeN2 PBE-GGA optimized geometry; energy relative to the elements, uncorrected = -0.258 eV/atom; energy above the most stable polymorph in this dataset = 0 meV per atom
1.0
4.4433 0.0000 0.0000
0.0000 4.4433 0.0000
0.0000 0.0000 6.1567
Sr La Se N
1 1 1 2
direct
0.0000 0.0000 0.0000
0.5000 0.5000 0.5000
0.5000 0.5000 0.0000
0.0000 0.5000 0.5000
0.5000 0.0000 0.5000

SrLaSeN2 PBE-GGA optimized geometry; energy relative to the elements, uncorrected = 0.338 eV/atom; energy above the most stable polymorph in this dataset = 596 meV per atom
1.0
4.4432 0.0000 0.0000
0.0000 4.4432 0.0000
0.0000 0.0000 5.7345
Sr La Se N
1 1 1 2
direct
0.0000 0.0000 0.0000
0.5000 0.5000 0.5000
0.0000 0.0000 0.5000
0.0000 0.5000 0.0000
0.5000 0.0000 0.0000

La3Ta2Se2N5 PBE-GGA optimized geometry; energy relative to the elements, uncorrected = -1.563 eV/atom
1.0
-2.0666 2.0666 12.0242
2.0666 -2.0666 12.0242
2.0666 2.0666 -12.0242
La Ta Se N
3 2 2 5
direct
0.0000 0.0000 0.0000
0.1602 0.1602 0.0000
0.8398 0.8398 0.0000
0.4184 0.4184 0.0000
0.5816 0.5816 0.0000
0.2978 0.2978 0.0000
0.7022 0.7022 0.0000
0.0892 0.5892 0.5000
0.4108 0.9108 0.5000
0.5000 0.5000 0.0000
0.5892 0.0892 0.5000
0.9108 0.4108 0.5000

LaTaSe2N PBE-GGA optimized geometry; energy relative to the elements, uncorrected = -1.044 eV/atom; energy above the most stable polymorph in this dataset = 0 meV per atom
1.0
5.1755 0.0000 0.0000
0.0000 5.1755 0.0000
0.0000 0.0000 3.9770
La Ta Se N
1 1 2 1
direct
0.0000 0.0000 0.0000
0.5000 0.5000 0.5000
0.0000 0.5000 0.5000
0.5000 0.0000 0.5000
0.5000 0.5000 0.0000

LaTaSe2N PBE-GGA optimized geometry; energy relative to the elements, uncorrected = 0.785 eV/atom; energy above the most stable polymorph in this dataset = 1828 meV per atom
1.0
5.7003 0.0000 0.0000
0.0000 5.7003 0.0000
0.0000 0.0000 4.0107
La Ta Se N
1 1 2 1
direct
0.0000 0.0000 0.0000
0.5000 0.5000 0.5000
0.0000 0.5000 0.0000
0.5000 0.0000 0.0000
0.0000 0.0000 0.5000

LaTaSe2N PBE-GGA optimized geometry; energy relative to the elements, uncorrected = 0.462 eV/atom; energy above the most stable polymorph in this dataset = 1505 meV per atom
1.0
4.6617 0.0000 0.0000
0.0000 4.6617 0.0000
0.0000 0.0000 4.6013
La Ta Se N
1 1 2 1
direct
0.0000 0.0000 0.0000
0.5000 0.5000 0.0000
0.0000 0.5000 0.5000
0.5000 0.0000 0.5000
0.0000 0.0000 0.5000

LaTcSeN2 PBE-GGA optimized geometry; energy relative to the elements, uncorrected = 1.168 eV/atom; energy above the most stable polymorph in this dataset = 1531 meV per atom
1.0
4.1851 0.0000 0.0000
0.0000 4.1851 0.0000
0.0000 0.0000 6.3171
La Tc Se N
1 1 1 2
direct
0.0000 0.0000 0.0000
0.5000 0.5000 0.5000
0.0000 0.0000 0.5000
0.0000 0.5000 0.0000
0.5000 0.0000 0.0000

LaTc2SeN PBE-GGA optimized geometry; energy relative to the elements, uncorrected = -0.299 eV/atom
1.0
4.0700 0.0000 0.0000
0.0000 4.0700 0.0000
0.0000 0.0000 5.3244
La Tc Se N
1 2 1 1
direct
0.0000 0.0000 0.0000
0.0000 0.5000 0.5000
0.5000 0.0000 0.5000
0.5000 0.5000 0.0000
0.0000 0.0000 0.5000

LaTcSeN2 PBE-GGA optimized geometry; energy relative to the elements, uncorrected = -0.363 eV/atom; energy above the most stable polymorph in this dataset = 0 meV per atom
1.0
4.0346 0.0000 0.0000
0.0000 4.0346 0.0000
0.0000 0.0000 5.1131
La Tc Se N
1 1 1 2
direct
0.0000 0.0000 0.0000
0.5000 0.5000 0.5000
0.5000 0.5000 0.0000
0.0000 0.5000 0.5000
0.5000 0.0000 0.5000

LaTcSe2N PBE-GGA optimized geometry; energy relative to the elements, uncorrected = -0.716 eV/atom; energy above the most stable polymorph in this dataset = 0 meV per atom
1.0
5.1466 0.0000 0.0000
0.0000 5.1466 0.0000
0.0000 0.0000 3.8098
La Tc Se N
1 1 2 1
direct
0.0000 0.0000 0.0000
0.5000 0.5000 0.5000
0.0000 0.5000 0.5000
0.5000 0.0000 0.5000
0.5000 0.5000 0.0000

LaTcSe2N PBE-GGA optimized geometry; energy relative to the elements, uncorrected = 0.807 eV/atom; energy above the most stable polymorph in this dataset = 1523 meV per atom
1.0
5.8123 0.0000 0.0000
0.0000 5.8123 0.0000
0.0000 0.0000 4.2177
La Tc Se N
1 1 2 1
direct
0.0000 0.0000 0.0000
0.5000 0.5000 0.5000
0.0000 0.5000 0.0000
0.5000 0.0000 0.0000
0.0000 0.0000 0.5000

La4TeSe2N2 PBE-GGA optimized geometry; energy relative to the elements, uncorrected = -1.732 eV/atom
1.0
8.3144 -2.0456 0.0000
8.3144 2.0456 0.0000
-4.2851 0.0000 7.6777
La Te Se N
4 1 2 2
direct
0.0251 0.0251 0.3102
0.2691 0.2691 0.6869
0.7309 0.7309 0.3131
0.9749 0.9749 0.6898
0.5000 0.5000 0.0000
0.3844 0.3844 0.3344
0.6156 0.6156 0.6656
0.1735 0.1735 0.3825
0.8265 0.8265 0.6175

La4Te2SeN2 PBE-GGA optimized geometry; energy relative to the elements, uncorrected = -1.729 eV/atom
1.0
8.1109 -2.1058 0.0000
8.1109 2.1058 0.0000
-2.7650 0.0000 7.3290
La Te Se N
4 2 1 2
direct
0.0414 0.0414 0.2615
0.2875 0.2875 0.3469
0.7125 0.7125 0.6531
0.9586 0.9586 0.7385
0.3692 0.3692 0.9633
0.6308 0.6308 0.0367
0.5000 0.5000 0.5000
0.1743 0.1743 0.4762
0.8257 0.8257 0.5238